VASP calculation (PBE) on an optimized crystal structure of Be2Sn2Br.

Results
Energy relative to the lowest polymorph listed for this composition, meV per atom: 0
Theoretical density, g cm⁻³: 5.6
Crystal system: tetragonal

a = 7.915 Å, b = 7.915 Å, c = 3.190 Å
α = 90.00°, β = 90.00°, γ = 90.00°
Sites, in units of the cell vectors:
Be1 0.145 0.355 0.000
Be2 0.355 0.855 0.000
Be3 0.645 0.145 0.000
Be4 0.855 0.645 0.000
Sn1 0.152 0.652 0.500
Sn2 0.348 0.152 0.500
Sn3 0.652 0.848 0.500
Sn4 0.848 0.348 0.500
Br1 0.000 0.000 0.000
Br2 0.500 0.500 0.000

VASP calculation (PBE) on an optimized crystal structure of Be2SnBr6.

Results
Theoretical density, g cm⁻³: 3.6
Crystal system: monoclinic
Total DFT energy (no corrections), eV/cell: -58.88

a = 9.670 Å, b = 9.670 Å, c = 6.513 Å
α = 105.20°, β = 105.20°, γ = 86.96°
Sites, in units of the cell vectors:
Be1 0.139 0.304 0.170
Be2 0.304 0.139 0.670
Be3 0.696 0.861 0.330
Be4 0.861 0.696 0.830
Sn1 0.248 0.752 0.250
Sn2 0.752 0.248 0.750
Br1 0.072 0.647 0.786
Br2 0.115 0.232 0.805
Br3 0.232 0.115 0.305
Br4 0.295 0.479 0.341
Br5 0.353 0.928 0.714
Br6 0.479 0.295 0.841
Br7 0.521 0.705 0.159
Br8 0.647 0.072 0.286
Br9 0.705 0.521 0.659
Br10 0.768 0.885 0.695
Br11 0.885 0.768 0.195
Br12 0.928 0.353 0.214

VASP calculation (PBE) on an optimized crystal structure of SrBeSn2Br.

Results
Theoretical density, g cm⁻³: 4.4
Crystal system: tetragonal
Total DFT energy (no corrections), eV/cell: -13.18

a = 5.912 Å, b = 5.912 Å, c = 4.489 Å
α = 90.00°, β = 90.00°, γ = 90.00°
Sites, in units of the cell vectors:
Sr1 0.000 0.000 0.000
Be1 0.500 0.500 0.000
Sn1 0.000 0.500 0.500
Sn2 0.500 0.000 0.500
Br1 0.500 0.500 0.500

VASP calculation (PBE) on an optimized crystal structure of Be2TlSnBr.

Results
Theoretical density, g cm⁻³: 4.8
Crystal system: tetragonal
Total DFT energy (no corrections), eV/cell: -13.18

a = 4.602 Å, b = 4.602 Å, c = 6.864 Å
α = 90.00°, β = 90.00°, γ = 90.00°
Sites, in units of the cell vectors:
Be1 0.000 0.500 0.000
Be2 0.500 0.000 0.000
Tl1 0.000 0.000 0.500
Sn1 0.000 0.000 0.000
Br1 0.500 0.500 0.500

VASP calculation (PBE) on an optimized crystal structure of BeTlSn2Br.

Results
Theoretical density, g cm⁻³: 4.5
Crystal system: tetragonal
Total DFT energy (no corrections), eV/cell: -10.86

a = 5.800 Å, b = 5.800 Å, c = 5.830 Å
α = 90.00°, β = 90.00°, γ = 90.00°
Sites, in units of the cell vectors:
Be1 0.000 0.000 0.000
Tl1 0.500 0.500 0.500
Sn1 0.000 0.500 0.500
Sn2 0.500 0.000 0.500
Br1 0.500 0.500 0.000

VASP calculation (PBE) on an optimized crystal structure of SrBeBr.

Results
Energy relative to the lowest polymorph listed for this composition, meV per atom: 0
Theoretical density, g cm⁻³: 3.0
Crystal system: tetragonal

a = 3.875 Å, b = 3.875 Å, c = 13.048 Å
α = 90.00°, β = 90.00°, γ = 90.00°
Sites, in units of the cell vectors:
Sr1 0.000 0.000 0.000
Sr2 0.500 0.500 0.500
Be1 0.000 0.000 0.635
Be2 0.500 0.500 0.135
Br1 0.000 0.000 0.375
Br2 0.500 0.500 0.875

VASP calculation (PBE) on an optimized crystal structure of SrBeBr4.

Results
Energy relative to the lowest polymorph listed for this composition, meV per atom: 0
Theoretical density, g cm⁻³: 3.3
Crystal system: monoclinic

a = 7.101 Å, b = 7.269 Å, c = 8.060 Å
α = 90.00°, β = 90.24°, γ = 90.00°
Sites, in units of the cell vectors:
Sr1 0.215 0.250 0.438
Sr2 0.785 0.750 0.562
Be1 0.287 0.750 0.695
Be2 0.713 0.250 0.305
Br1 0.100 0.509 0.735
Br2 0.100 0.991 0.735
Br3 0.373 0.750 0.429
Br4 0.474 0.250 0.142
Br5 0.526 0.750 0.858
Br6 0.627 0.250 0.571
Br7 0.900 0.009 0.265
Br8 0.900 0.491 0.265

VASP calculation (PBE) on an optimized crystal structure of SrBe2Br.

Results
Energy relative to the lowest polymorph listed for this composition, meV per atom: 202
Theoretical density, g cm⁻³: 3.2
Crystal system: orthorhombic

a = 4.300 Å, b = 4.350 Å, c = 5.121 Å
α = 90.00°, β = 90.00°, γ = 90.00°
Sites, in units of the cell vectors:
Sr1 0.000 0.000 0.000
Be1 0.500 0.251 0.500
Be2 0.500 0.749 0.500
Br1 0.500 0.500 0.000

VASP calculation (PBE) on an optimized crystal structure of SrBe2Br.

Results
Energy relative to the lowest polymorph listed for this composition, meV per atom: 198
Theoretical density, g cm⁻³: 3.1
Crystal system: orthorhombic

a = 4.199 Å, b = 5.278 Å, c = 9.092 Å
α = 90.00°, β = 90.00°, γ = 90.00°
Sites, in units of the cell vectors:
Sr1 0.000 0.000 0.000
Sr2 0.500 0.500 0.500
Be1 0.000 0.000 0.334
Be2 0.000 0.500 0.800
Be3 0.500 0.000 0.300
Be4 0.500 0.500 0.834
Br1 0.000 0.500 0.238
Br2 0.500 0.000 0.738

VASP calculation (PBE) on an optimized crystal structure of SrBe2Br.

Results
Energy relative to the lowest polymorph listed for this composition, meV per atom: 519
Theoretical density, g cm⁻³: 3.4
Crystal system: cubic

a = 7.135 Å, b = 7.135 Å, c = 7.135 Å
α = 90.00°, β = 90.00°, γ = 90.00°
Sites, in units of the cell vectors:
Sr1 0.000 0.000 0.000
Sr2 0.000 0.500 0.500
Sr3 0.500 0.000 0.500
Sr4 0.500 0.500 0.000
Be1 0.000 0.000 0.500
Be2 0.000 0.500 0.000
Be3 0.250 0.250 0.750
Be4 0.250 0.750 0.250
Be5 0.500 0.000 0.000
Be6 0.500 0.500 0.500
Be7 0.750 0.250 0.250
Be8 0.750 0.750 0.750
Br1 0.250 0.250 0.250
Br2 0.250 0.750 0.750
Br3 0.750 0.250 0.750
Br4 0.750 0.750 0.250

VASP calculation (PBE) on an optimized crystal structure of SrBe2Br.

Results
Energy relative to the lowest polymorph listed for this composition, meV per atom: 483
Theoretical density, g cm⁻³: 3.1
Crystal system: tetragonal

a = 8.359 Å, b = 8.359 Å, c = 5.641 Å
α = 90.00°, β = 90.00°, γ = 90.00°
Sites, in units of the cell vectors:
Sr1 0.000 0.000 0.000
Sr2 0.000 0.500 0.250
Sr3 0.500 0.000 0.750
Sr4 0.500 0.500 0.500
Be1 0.224 0.750 0.625
Be2 0.250 0.224 0.375
Be3 0.250 0.276 0.875
Be4 0.276 0.750 0.125
Be5 0.724 0.250 0.125
Be6 0.750 0.724 0.875
Be7 0.750 0.776 0.375
Be8 0.776 0.250 0.625
Br1 0.000 0.000 0.500
Br2 0.000 0.500 0.750
Br3 0.500 0.000 0.250
Br4 0.500 0.500 0.000

VASP calculation (PBE) on an optimized crystal structure of SrBe2Br.

Results
Energy relative to the lowest polymorph listed for this composition, meV per atom: 560
Theoretical density, g cm⁻³: 2.9
Crystal system: tetragonal

a = 4.305 Å, b = 4.305 Å, c = 5.824 Å
α = 90.00°, β = 90.00°, γ = 90.00°
Sites, in units of the cell vectors:
Sr1 0.000 0.000 0.000
Be1 0.500 0.500 0.315
Be2 0.500 0.500 0.685
Br1 0.000 0.000 0.500